Entry 1:
{"formula": "AcZnInAu3", "functional": "PBE", "state": "relaxed", "lattice_angstrom": [[3.198, -6.323, 0.000], [3.198, 6.323, 0.000], [0.000, 0.000, 7.159]], "species": ["Ac", "Ac", "Zn", "Zn", "In", "In", "Au", "Au", "Au", "Au", "Au", "Au"], "fractional_positions": [[0.194, 0.806, 0.750], [0.806, 0.194, 0.250], [0.447, 0.553, 0.750], [0.553, 0.447, 0.250], [0.130, 0.870, 0.250], [0.870, 0.130, 0.750], [0.231, 0.231, 0.000], [0.231, 0.231, 0.500], [0.343, 0.657, 0.250], [0.657, 0.343, 0.750], [0.769, 0.769, 0.000], [0.769, 0.769, 0.500]], "space_group": "Cmcm", "total_magnetization_mub_per_fu": 0.0, "ef_ev_per_atom": -0.3862, "e_tot_ev_per_atom": -3.378}


Entry 2:
{"formula": "AcZn2InAu5", "functional": "PBE", "state": "relaxed", "lattice_angstrom": [[5.051, 0.000, 0.000], [0.000, 5.051, 0.000], [0.000, 0.000, 7.740]], "species": ["Ac", "Zn", "Zn", "In", "Au", "Au", "Au", "Au", "Au"], "fractional_positions": [[0.000, 0.000, 0.000], [0.500, 0.500, 0.341], [0.500, 0.500, 0.659], [0.000, 0.000, 0.500], [0.000, 0.500, 0.269], [0.000, 0.500, 0.731], [0.500, 0.000, 0.269], [0.500, 0.000, 0.731], [0.500, 0.500, 0.000]], "space_group": "P4/mmm", "total_magnetization_mub_per_fu": 0.0, "ef_ev_per_atom": -0.3153, "e_tot_ev_per_atom": -3.180}


Entry 3:
{"formula": "Ac2Zn4In3Au", "functional": "PBE", "state": "relaxed", "lattice_angstrom": [[4.673, 0.000, 0.000], [0.000, 4.673, 0.000], [0.000, 0.000, 10.956]], "species": ["Ac", "Ac", "Zn", "Zn", "Zn", "Zn", "In", "In", "In", "Au"], "fractional_positions": [[0.000, 0.500, 0.249], [0.500, 0.000, 0.751], [0.000, 0.000, 0.500], [0.000, 0.500, 0.874], [0.500, 0.000, 0.126], [0.500, 0.500, 0.500], [0.000, 0.000, 0.000], [0.000, 0.500, 0.632], [0.500, 0.000, 0.368], [0.500, 0.500, 0.000]], "space_group": "P-4m2", "total_magnetization_mub_per_fu": 0.0, "ef_ev_per_atom": -0.3872, "e_tot_ev_per_atom": -2.868}


Entry 4:
{"formula": "AcZnInAu6", "functional": "PBE", "state": "relaxed", "lattice_angstrom": [[7.665, 0.000, 0.000], [-3.663, 6.767, 0.000], [-2.615, -2.997, 7.897]], "species": ["Ac", "Ac", "Zn", "Zn", "In", "In", "Au", "Au", "Au", "Au", "Au", "Au", "Au", "Au", "Au", "Au", "Au", "Au"], "fractional_positions": [[0.233, 0.240, 0.472], [0.767, 0.760, 0.528], [0.000, 0.000, 0.000], [0.500, 0.000, 0.500], [0.000, 0.500, 0.000], [0.500, 0.000, 0.000], [0.182, 0.584, 0.356], [0.229, 0.828, 0.645], [0.253, 0.176, 0.834], [0.260, 0.935, 0.198], [0.278, 0.554, 0.830], [0.342, 0.420, 0.167], [0.658, 0.580, 0.833], [0.722, 0.446, 0.170], [0.740, 0.065, 0.802], [0.747, 0.824, 0.166], [0.771, 0.172, 0.355], [0.818, 0.416, 0.644]], "space_group": "P-1", "total_magnetization_mub_per_fu": 0.0, "ef_ev_per_atom": -0.2841, "e_tot_ev_per_atom": -3.371}


Entry 5:
{"formula": "Ac2ZnIn4Au3", "functional": "PBE", "state": "relaxed", "lattice_angstrom": [[4.724, 0.000, 0.000], [0.000, 4.724, 0.000], [0.000, 0.000, 11.406]], "species": ["Ac", "Ac", "Zn", "In", "In", "In", "In", "Au", "Au", "Au"], "fractional_positions": [[0.000, 0.500, 0.241], [0.500, 0.000, 0.759], [0.500, 0.500, 0.000], [0.000, 0.000, 0.500], [0.000, 0.500, 0.874], [0.500, 0.000, 0.126], [0.500, 0.500, 0.500], [0.000, 0.000, 0.000], [0.000, 0.500, 0.637], [0.500, 0.000, 0.363]], "space_group": "P-4m2", "total_magnetization_mub_per_fu": 0.0, "ef_ev_per_atom": -0.5299, "e_tot_ev_per_atom": -3.558}


Entry 6:
{"formula": "Ac2Zn3InAu4", "functional": "PBE", "state": "relaxed", "lattice_angstrom": [[4.525, 0.000, 0.000], [0.000, 4.525, 0.000], [0.000, 0.000, 11.248]], "species": ["Ac", "Ac", "Zn", "Zn", "Zn", "In", "Au", "Au", "Au", "Au"], "fractional_positions": [[0.000, 0.500, 0.242], [0.500, 0.000, 0.758], [0.000, 0.500, 0.878], [0.500, 0.000, 0.122], [0.500, 0.500, 0.500], [0.000, 0.000, 0.500], [0.000, 0.000, 0.000], [0.000, 0.500, 0.647], [0.500, 0.000, 0.353], [0.500, 0.500, 0.000]], "space_group": "P-4m2", "total_magnetization_mub_per_fu": 0.0, "ef_ev_per_atom": -0.5648, "e_tot_ev_per_atom": -3.353}